DFT (GGA-PBEsol) results for an optimized crystal structure of RbTlCrSe2.

Its total energy is -0.2384 Ry per atom. The crystal system is tetragonal. Its magnetic moment is 4.126 μB/f.u. The formation energy (no corrections) is 1.076 eV per atom.

The space group is P4/mmm (No. 123) and the conventional cell measures 5.897, 5.897 and 5.255 Å, with angles of 90.00, 90.00 and 90.00 degrees. The distinct sites, in fractional coordinates, are Rb at (0.000, 0.000, 0.000), Tl at (0.500, 0.500, 0.500), Cr at (0.000, 0.000, 0.500) and Se at (0.000, 0.500, 0.000).